Entry 1:
VASP calculation (PBE) on crystalline HfAl2MoAs at its relaxed geometry.

Cell: 5.198 5.198 4.778 Å, 90.00 90.00 90.00°
Space group P4/mmm (No. 123)
One atom of each set of equivalent atoms:
Hf 0.000 0.000 0.000 (multiplicity 1)
Al 0.000 0.500 0.000 (multiplicity 2)
Mo 0.000 0.000 0.500 (multiplicity 1)
As 0.500 0.500 0.500 (multiplicity 1)

Summary:
Its formation energy is 1.41 eV/atom.



Entry 2:
VASP calculation (PBE) on crystalline NaHf2AlAs at its relaxed geometry.

Cell: 5.085 5.085 5.027 Å, 90.00 90.00 90.00°
Space group P4/mmm (No. 123)
One atom of each set of equivalent atoms:
Na 0.000 0.000 0.000 (multiplicity 1)
Hf 0.000 0.500 0.500 (multiplicity 2)
Al 0.500 0.500 0.500 (multiplicity 1)
As 0.500 0.500 0.000 (multiplicity 1)

Summary:
Its formation energy is 0.83 eV/atom.



Entry 3:
VASP calculation (PBE) on crystalline HfAlAs2Pt at its relaxed geometry.

Cell: 4.585 4.585 5.150 Å, 90.00 90.00 90.00°
Space group P4/mmm (No. 123)
One atom of each set of equivalent atoms:
Hf 0.000 0.000 0.000 (multiplicity 1)
Al 0.000 0.000 0.500 (multiplicity 1)
As 0.000 0.500 0.500 (multiplicity 2)
Pt 0.500 0.500 0.000 (multiplicity 1)

Summary:
Its formation energy is 0.72 eV/atom.



Entry 4:
VASP calculation (PBE) on crystalline HfAlAs2S at its relaxed geometry.

Cell: 4.534 4.534 5.568 Å, 90.00 90.00 90.00°
Space group P4/mmm (No. 123)
One atom of each set of equivalent atoms:
Hf 0.000 0.000 0.000 (multiplicity 1)
Al 0.000 0.000 0.500 (multiplicity 1)
As 0.000 0.500 0.500 (multiplicity 2)
S 0.500 0.500 0.000 (multiplicity 1)

Summary:
The calculation puts the formation energy without anion corrections at 649 meV per atom.



Entry 5:
VASP calculation (PBE) on crystalline HfAlAsSe2 at its relaxed geometry.

Cell: 5.155 5.155 5.244 Å, 90.00 90.00 90.00°
Space group P4/mmm (No. 123)
One atom of each set of equivalent atoms:
Hf 0.000 0.000 0.000 (multiplicity 1)
Al 0.500 0.500 0.500 (multiplicity 1)
As 0.000 0.000 0.500 (multiplicity 1)
Se 0.000 0.500 0.000 (multiplicity 2)

Summary:
Its energy above the most stable polymorph in this dataset is 0 meV per atom. The calculation puts the formation energy without anion corrections at -145 meV per atom.



Entry 6:
VASP calculation (PBE) on crystalline HfAlAsSe2 at its relaxed geometry.

Cell: 4.800 4.800 4.799 Å, 90.00 90.00 90.00°
Space group P4/mmm (No. 123)
One atom of each set of equivalent atoms:
Hf 0.000 0.000 0.000 (multiplicity 1)
Al 0.500 0.500 0.500 (multiplicity 1)
As 0.500 0.500 0.000 (multiplicity 1)
Se 0.000 0.500 0.500 (multiplicity 2)

Summary:
Its energy above the most stable polymorph in this dataset is 301 meV per atom. The calculation puts the formation energy without anion corrections at 156 meV per atom.



Entry 7:
VASP calculation (PBE) on crystalline Hf2AlSiAs at its relaxed geometry.

Cell: 4.966 4.966 4.529 Å, 90.00 90.00 90.00°
Space group P4/mmm (No. 123)
One atom of each set of equivalent atoms:
Hf 0.000 0.500 0.000 (multiplicity 2)
Al 0.000 0.000 0.500 (multiplicity 1)
Si 0.500 0.500 0.500 (multiplicity 1)
As 0.000 0.000 0.000 (multiplicity 1)

Summary:
The calculation puts the formation energy without anion corrections at 516 meV per atom.



Entry 8:
VASP calculation (PBE) on crystalline HfTiAl2As at its relaxed geometry.

Cell: 4.952 4.952 4.826 Å, 90.00 90.00 90.00°
Space group P4/mmm (No. 123)
One atom of each set of equivalent atoms:
Hf 0.000 0.000 0.000 (multiplicity 1)
Ti 0.000 0.000 0.500 (multiplicity 1)
Al 0.000 0.500 0.500 (multiplicity 2)
As 0.500 0.500 0.000 (multiplicity 1)

Summary:
Its formation energy is 0.87 eV/atom.



Entry 9:
VASP calculation (PBE) on crystalline HfZr2AlAs at its relaxed geometry.

Cell: 5.011 5.011 4.661 Å, 90.00 90.00 90.00°
Space group P4/mmm (No. 123)
One atom of each set of equivalent atoms:
Hf 0.000 0.000 0.000 (multiplicity 1)
Zr 0.000 0.500 0.500 (multiplicity 2)
Al 0.500 0.500 0.000 (multiplicity 1)
As 0.500 0.500 0.500 (multiplicity 1)

Summary:
Its formation energy is 0.20 eV/atom.



Entry 10:
VASP calculation (PBE) on crystalline Al2HgAs at its relaxed geometry.

Cell: 6.457 3.718 7.171 Å, 90.00 107.32 90.00°
Space group C2/m (No. 12)
One atom of each set of equivalent atoms:
Al 0.239 0.000 0.217 (multiplicity 4)
Hg 0.000 0.000 0.500 (multiplicity 2)
As 0.000 0.500 0.000 (multiplicity 2)

Summary:
Its energy above the most stable polymorph in this dataset is 0 meV per atom. Its formation energy is -0.03 eV/atom.



Entry 11:
VASP calculation (PBE) on crystalline AlHgAs2 at its relaxed geometry.

Cell: 3.437 3.437 7.329 Å, 90.00 90.00 90.00°
Space group P4mm (No. 99)
One atom of each set of equivalent atoms:
Al 0.000 0.000 0.000 (multiplicity 1)
Hg 0.500 0.500 0.739 (multiplicity 1)
As 0.000 0.000 0.392 (multiplicity 1)
As 0.500 0.500 0.229 (multiplicity 1)

Summary:
Its energy above the most stable polymorph in this dataset is 278 meV per atom. Its formation energy is 0.23 eV/atom.



Entry 12:
VASP calculation (PBE) on crystalline AlHgAs2 at its relaxed geometry.

Cell: 6.878 6.878 6.878 Å, 90.00 90.00 90.00°
Space group F-43m (No. 216)
One atom of each set of equivalent atoms:
Al 0.000 0.000 0.000 (multiplicity 4)
Hg 0.250 0.250 0.250 (multiplicity 4)
As 0.000 0.000 0.500 (multiplicity 4)
As 0.250 0.250 0.750 (multiplicity 4)

Summary:
Its energy above the most stable polymorph in this dataset is 398 meV per atom. Its formation energy is 0.35 eV/atom.



Please write out number 5 again, unchanged.
VASP calculation (PBE) on crystalline HfAlAsSe2 at its relaxed geometry.

Cell: 5.155 5.155 5.244 Å, 90.00 90.00 90.00°
Space group P4/mmm (No. 123)
One atom of each set of equivalent atoms:
Hf 0.000 0.000 0.000 (multiplicity 1)
Al 0.500 0.500 0.500 (multiplicity 1)
As 0.000 0.000 0.500 (multiplicity 1)
Se 0.000 0.500 0.000 (multiplicity 2)

Summary:
Its energy above the most stable polymorph in this dataset is 0 meV per atom. The calculation puts the formation energy without anion corrections at -145 meV per atom.